(A)
Below is crystalline LiHo2Pd3 at its relaxed geometry, with properties calculated at the PBE level.

Calculated values
space-group type: P-3m1
M_tot: 0.000 μB per formula unit

Lattice parameters (Å, degrees): 4.819 4.819 11.534 90.00 90.00 120.00
Atoms (fractional coordinates):
Li1 0.333 0.667 0.166
Li2 0.667 0.333 0.834
Ho1 0.000 0.000 0.000
Ho2 0.000 0.000 0.500
Ho3 0.333 0.667 0.685
Ho4 0.667 0.333 0.315
Pd1 0.000 0.000 0.249
Pd2 0.000 0.000 0.751
Pd3 0.333 0.667 0.417
Pd4 0.333 0.667 0.930
Pd5 0.667 0.333 0.070
Pd6 0.667 0.333 0.583

---

(B)
Below is crystalline LiHo2Pd3 at its relaxed geometry, with properties calculated at the PBE level.

Calculated values
space-group type: P4/mmm
M_tot: 0.000 μB per formula unit

Lattice parameters (Å, degrees): 3.458 3.458 9.504 90.00 90.00 90.00
Atoms (fractional coordinates):
Li1 0.000 0.000 0.000
Ho1 0.000 0.000 0.315
Ho2 0.000 0.000 0.685
Pd1 0.500 0.500 0.148
Pd2 0.500 0.500 0.500
Pd3 0.500 0.500 0.852

---

(B) is the most stable structure; the next one sits 14 meV/atom above it.